A plane-wave DFT calculation with PBEsol was carried out for CaZrRu after structural relaxation.

Unit cell a=6.4610 b=6.4610 c=6.4610 alpha=90.00 beta=90.00 gamma=90.00
Space group F-43m (No. 216)
Symmetry-distinct sites (fractional):
Ca  0.0000  0.0000  0.0000
Zr  0.0000  0.0000  0.5000
Ru  0.2500  0.2500  0.2500

## Properties
volume	22.476	Å³ per atom
total magnetic moment	0.00	Bohr magnetons per cell
E_form	0.198	eV per atom

=====

A plane-wave DFT calculation with PBEsol was carried out for CaZr2Ru after structural relaxation.

Unit cell a=3.2787 b=3.2787 c=8.0623 alpha=90.00 beta=90.00 gamma=90.00
Space group P4mm (No. 99)
Symmetry-distinct sites (fractional):
Ca  0.0000  0.0000  0.0000
Zr  0.0000  0.0000  0.4095
Zr  0.5000  0.5000  0.6586
Ru  0.5000  0.5000  0.2410

## Properties
volume	21.667	Å³ per atom
total magnetic moment	0.00	Bohr magnetons per cell
E_form	-0.057	eV per atom
energy above the most stable polymorph in this dataset	0.0000	eV/atom

=====

A plane-wave DFT calculation with PBEsol was carried out for CaZrRu2 after structural relaxation.

Unit cell a=4.6141 b=4.6141 c=3.2426 alpha=90.00 beta=90.00 gamma=90.00
Space group P4/mmm (No. 123)
Symmetry-distinct sites (fractional):
Ca  0.0000  0.0000  0.0000
Zr  0.5000  0.5000  0.0000
Ru  0.0000  0.5000  0.5000

## Properties
volume	17.258	Å³ per atom
total magnetic moment	0.00	Bohr magnetons per cell
E_form	0.018	eV per atom